(1)
Compound: Hf2AlCd
Source: the Alexandria database
Functional: GGA-PBE
Structure: optimized geometry

CIF file:
```
data_Hf2AlCd
_chemical_formula_sum 'Hf6 Al3 Cd3'
_symmetry_space_group_name_H-M 'R -3 m'
_symmetry_Int_Tables_number 166
_symmetry_space_group_name_Hall '-R 3 2"'
_cell_length_a 3.0675
_cell_length_b 3.0675
_cell_length_c 30.4949
_cell_angle_alpha 90.00
_cell_angle_beta 90.00
_cell_angle_gamma 120.00
loop_
_atom_site_label
_atom_site_type_symbol
_atom_site_fract_x
_atom_site_fract_y
_atom_site_fract_z
Hf1 Hf 0.0000 0.0000 0.2468
Al1 Al 0.0000 0.0000 0.5000
Cd1 Cd 0.0000 0.0000 0.0000
```

Results
As for the crystal system: trigonal. The final energy is -74.027 eV per cell. The calculation puts the density of states at the Fermi level at 4.6 states/eV/f.u.



(2)
Compound: Hf2AlCd
Source: the Alexandria database
Functional: GGA-PBE
Structure: optimized geometry

CIF file:
```
data_Hf2AlCd
_chemical_formula_sum 'Hf2 Al1 Cd1'
_symmetry_space_group_name_H-M 'P 4/m m m'
_symmetry_Int_Tables_number 123
_symmetry_space_group_name_Hall '-P 4 2'
_cell_length_a 2.9939
_cell_length_b 2.9939
_cell_length_c 8.9160
_cell_angle_alpha 90.00
_cell_angle_beta 90.00
_cell_angle_gamma 90.00
loop_
_atom_site_label
_atom_site_type_symbol
_atom_site_fract_x
_atom_site_fract_y
_atom_site_fract_z
Hf1 Hf 0.0000 0.0000 0.2261
Al1 Al 0.5000 0.5000 0.0000
Cd1 Cd 0.5000 0.5000 0.5000
```

Results
As for the crystal system: tetragonal. The final energy is -25.329 eV per cell. The calculation puts the density of states at the Fermi level at 3.6 states/eV/f.u.



(3)
Compound: Hf2AlCd
Source: the Alexandria database
Functional: GGA-PBE
Structure: optimized geometry

CIF file:
```
data_Hf2AlCd
_chemical_formula_sum 'Hf2 Al1 Cd1'
_symmetry_space_group_name_H-M 'P 4/m m m'
_symmetry_Int_Tables_number 123
_symmetry_space_group_name_Hall '-P 4 2'
_cell_length_a 4.3329
_cell_length_b 4.3329
_cell_length_c 4.2711
_cell_angle_alpha 90.00
_cell_angle_beta 90.00
_cell_angle_gamma 90.00
loop_
_atom_site_label
_atom_site_type_symbol
_atom_site_fract_x
_atom_site_fract_y
_atom_site_fract_z
Hf1 Hf 0.0000 0.5000 0.0000
Al1 Al 0.0000 0.0000 0.5000
Cd1 Cd 0.5000 0.5000 0.5000
```

Results
As for the crystal system: tetragonal. The final energy is -25.083 eV per cell. The calculation puts the density of states at the Fermi level at 4.1 states/eV/f.u.



(4)
Compound: Hf2AlCd
Source: the Alexandria database
Functional: GGA-PBE
Structure: optimized geometry

CIF file:
```
data_Hf2AlCd
_chemical_formula_sum 'Hf8 Al4 Cd4'
_symmetry_space_group_name_H-M 'I -4 2 d'
_symmetry_Int_Tables_number 122
_symmetry_space_group_name_Hall 'I -4 2bw'
_cell_length_a 7.7837
_cell_length_b 7.7837
_cell_length_c 5.7123
_cell_angle_alpha 90.00
_cell_angle_beta 90.00
_cell_angle_gamma 90.00
loop_
_atom_site_label
_atom_site_type_symbol
_atom_site_fract_x
_atom_site_fract_y
_atom_site_fract_z
Hf1 Hf 0.2442 0.7500 0.1250
Al1 Al 0.0000 0.0000 0.0000
Cd1 Cd 0.0000 0.0000 0.5000
```

Results
As for the crystal system: tetragonal. The final energy is -93.366 eV per cell. The calculation puts the density of states at the Fermi level at 2.4 states/eV/f.u.



(5)
Compound: Hf6AlCd
Source: the Alexandria database
Functional: GGA-PBE
Structure: optimized geometry

CIF file:
```
data_Hf6AlCd
_chemical_formula_sum 'Hf6 Al1 Cd1'
_symmetry_space_group_name_H-M 'P 4/m m m'
_symmetry_Int_Tables_number 123
_symmetry_space_group_name_Hall '-P 4 2'
_cell_length_a 4.3755
_cell_length_b 4.3755
_cell_length_c 8.7460
_cell_angle_alpha 90.00
_cell_angle_beta 90.00
_cell_angle_gamma 90.00
loop_
_atom_site_label
_atom_site_type_symbol
_atom_site_fract_x
_atom_site_fract_y
_atom_site_fract_z
Hf1 Hf 0.0000 0.0000 0.0000
Hf2 Hf 0.0000 0.0000 0.5000
Hf3 Hf 0.0000 0.5000 0.2437
Al1 Al 0.5000 0.5000 0.0000
Cd1 Cd 0.5000 0.5000 0.5000
```

Results
As for the crystal system: tetragonal. The final energy is -65.383 eV per cell. The calculation puts the density of states at the Fermi level at 5.8 states/eV/f.u.



(6)
Compound: HfAl3Cd
Source: the Alexandria database
Functional: GGA-PBE
Structure: optimized geometry

CIF file:
```
data_HfAl3Cd
_chemical_formula_sum 'Hf1 Al3 Cd1'
_symmetry_space_group_name_H-M 'P m -3 m'
_symmetry_Int_Tables_number 221
_symmetry_space_group_name_Hall '-P 4 2 3'
_cell_length_a 5.2711
_cell_length_b 5.2711
_cell_length_c 5.2711
_cell_angle_alpha 90.00
_cell_angle_beta 90.00
_cell_angle_gamma 90.00
loop_
_atom_site_label
_atom_site_type_symbol
_atom_site_fract_x
_atom_site_fract_y
_atom_site_fract_z
Hf1 Hf 0.0000 0.0000 0.0000
Al1 Al 0.0000 0.0000 0.5000
Cd1 Cd 0.5000 0.5000 0.5000
```

Results
As for the crystal system: cubic. The final energy is -17.347 eV per cell. The calculation puts the density of states at the Fermi level at 6.0 states/eV/f.u.